No. 1
Below is crystalline Na2TiAs at its relaxed geometry, with properties calculated at the GGA-PBE level.

The structure belongs to space group I-42d (No. 122); the cell edges are 10.0316, 10.0316 and 4.9923 Å and the angles 90.00°, 90.00° and 90.00°. The inequivalent atoms are Na at (0.1304, 0.2500, 0.1250), Ti at (0.0000, 0.0000, 0.5000) and As at (0.0000, 0.0000, 0.0000).

The density of states at the Fermi level comes out at 5.56 states/eV/f.u. The total DFT energy (no corrections) comes out at -14.492 eV per formula unit.

No. 2
Below is crystalline Na2TiAs2 at its relaxed geometry, with properties calculated at the GGA-PBE level.

The structure belongs to space group P4/mbm (No. 127); the cell edges are 6.7684, 6.7684 and 4.7936 Å and the angles 90.00°, 90.00° and 90.00°. The inequivalent atoms are Na at (0.1681, 0.3319, 0.0000), Ti at (0.0000, 0.0000, 0.5000) and As at (0.1381, 0.6381, 0.5000).

The density of states at the Fermi level comes out at 2.01 states/eV/f.u. As for the polymorph energy (0 for the lowest one): 0.0476 eV/atom.

No. 3
Below is crystalline Na3U2TiAs6 at its relaxed geometry, with properties calculated at the GGA-PBE level.

The structure belongs to space group C2/m (No. 12); the cell edges are 6.9765, 12.0877 and 7.3250 Å and the angles 90.00°, 108.60° and 90.00°. The inequivalent atoms are Na at (0.0000, 0.0000, 0.0000), Na at (0.0000, 0.3288, 0.0000), U at (0.0000, 0.1663, 0.5000), Ti at (0.0000, 0.5000, 0.5000), As at (0.2299, 0.3395, 0.7083) and As at (0.2500, 0.0000, 0.7103).

The density of states at the Fermi level comes out at 6.73 states/eV/f.u. The total DFT energy (no corrections) comes out at -68.759 eV per formula unit.

No. 4
Below is crystalline Na2TiZnAs at its relaxed geometry, with properties calculated at the GGA-PBE level.

The structure belongs to space group P4/mmm (No. 123); the cell edges are 6.2093, 6.2093 and 4.8003 Å and the angles 90.00°, 90.00° and 90.00°. The inequivalent atoms are Na at (0.0000, 0.5000, 0.0000), Ti at (0.0000, 0.0000, 0.0000), Zn at (0.5000, 0.5000, 0.5000) and As at (0.0000, 0.0000, 0.5000).

The density of states at the Fermi level comes out at 1.41 states/eV/f.u. The total DFT energy (no corrections) comes out at -14.136 eV per formula unit.

No. 5
Below is crystalline NaTl2As2 at its relaxed geometry, with properties calculated at the GGA-PBE level.

The structure belongs to space group P4/mbm (No. 127); the cell edges are 7.5795, 7.5795 and 4.9108 Å and the angles 90.00°, 90.00° and 90.00°. The inequivalent atoms are Na at (0.0000, 0.0000, 0.0000), Tl at (0.1736, 0.3264, 0.5000) and As at (0.1120, 0.6120, 0.0000).

The density of states at the Fermi level comes out at 4.45 states/eV/f.u. As for the polymorph energy (0 for the lowest one): 0.0000 eV/atom.

No. 6
Below is crystalline Na5TlAs2 at its relaxed geometry, with properties calculated at the GGA-PBE level.

The structure belongs to space group P6_3/mmc (No. 194); the cell edges are 5.1850, 5.1850 and 19.1825 Å and the angles 90.00°, 90.00° and 120.00°. The inequivalent atoms are Na at (0.0000, 0.0000, 0.1364), Na at (0.3333, 0.6667, 0.0530), Na at (0.3333, 0.6667, 0.2500), Tl at (0.3333, 0.6667, 0.7500) and As at (0.3333, 0.6667, 0.6053).

The density of states at the Fermi level comes out at 3.50 states/eV/f.u. The total DFT energy (no corrections) comes out at -20.078 eV per formula unit.

No. 7
Below is crystalline Na3TlAs2 at its relaxed geometry, with properties calculated at the GGA-PBE level.

The structure belongs to space group Ibam (No. 72); the cell edges are 6.8221, 13.6134 and 7.6706 Å and the angles 90.00°, 90.00° and 90.00°. The inequivalent atoms are Na at (0.0000, 0.0000, 0.2500), Na at (0.0000, 0.2617, 0.2500), Tl at (0.0000, 0.5000, 0.0000) and As at (0.2365, 0.1327, 0.0000).

The total DFT energy (no corrections) comes out at -17.336 eV per formula unit.

No. 8
Below is crystalline Na3TlAs at its relaxed geometry, with properties calculated at the GGA-PBE level.

The structure belongs to space group Pm-3m (No. 221); the cell edges are 5.6186, 5.6186 and 5.6186 Å and the angles 90.00°, 90.00° and 90.00°. The inequivalent atoms are Na at (0.0000, 0.0000, 0.5000), Tl at (0.0000, 0.0000, 0.0000) and As at (0.5000, 0.5000, 0.5000).

The density of states at the Fermi level comes out at 4.01 states/eV/f.u. As for the polymorph energy (0 for the lowest one): 0.6033 eV/atom.

| no. | M_tot (μB/cell) |
| --- | --- |
| 1 | 7.906 |
| 2 | 3.686 |
| 3 | 2.147 |
| 4 | 1.164 |
| 5 | 0.000 |
| 6 | 0.000 |
| 7 | 0.000 |
| 8 | 0.000 |